A plane-wave DFT calculation with GGA-PBE was carried out for a relaxed AcNdZnCu crystal.

## Properties
As for the magnetic moment: 0.00 μB/cell. The formation energy comes out at -15.90 kJ per mole of atoms. As for the relative energy among the computed polymorphs: 0.09 eV/f.u.

Unit cell a=7.5220 b=7.5220 c=7.5220 alpha=90.00 beta=90.00 gamma=90.00
Closest atoms and distances in Å follow each position.
Space group F-43m (No. 216)
Symmetry-distinct sites (fractional):
Ac: 0.0000 0.0000 0.0000  4 Cu 3.26, 4 Zn 3.26
Nd: 0.0000 0.0000 0.5000  4 Cu 3.26, 4 Zn 3.26
Zn: 0.2500 0.2500 0.7500  4 Ac 3.26, 4 Nd 3.26
Cu: 0.2500 0.2500 0.2500  4 Ac 3.26, 4 Nd 3.26